# 1
# La5PrNdSm2, optimized geometry, DFT PBE
data_La5PrNdSm2
_cell_length_a 9.042
_cell_length_b 9.042
_cell_length_c 15.909
_cell_angle_alpha 90.00
_cell_angle_beta 90.00
_cell_angle_gamma 90.00
_symmetry_space_group_name_H-M 'I 4/m c m'
_symmetry_Int_Tables_number 140
_symmetry_space_group_name_Hall '-I 4 2c'
loop_
_atom_site_label
_atom_site_type_symbol
_atom_site_fract_x
_atom_site_fract_y
_atom_site_fract_z
La1 La 0.000 0.000 0.000
La2 La 0.199 0.301 0.137
Pr1 Pr 0.000 0.000 0.250
Nd1 Nd 0.000 0.500 0.250
Sm1 Sm 0.118 0.382 0.500
# * E_form: 0.239 eV per atom
# * volume: 36.13 Å³ per atom
# * ρ: 6.54 Mg/m³

---

# 2
# BaAs2PSe, optimized geometry, DFT PBE
data_BaAs2PSe
_cell_length_a 4.918
_cell_length_b 4.918
_cell_length_c 5.264
_cell_angle_alpha 90.00
_cell_angle_beta 90.00
_cell_angle_gamma 90.00
_symmetry_space_group_name_H-M 'P 4/m m m'
_symmetry_Int_Tables_number 123
_symmetry_space_group_name_Hall '-P 4 2'
loop_
_atom_site_label
_atom_site_type_symbol
_atom_site_fract_x
_atom_site_fract_y
_atom_site_fract_z
Ba1 Ba 0.000 0.000 0.000
As1 As 0.000 0.500 0.500
P1 P 0.500 0.500 0.500
Se1 Se 0.500 0.500 0.000
# * distance to the lowest polymorph of the same formula: 0 meV per atom
# * volume: 25.46 Å³ per atom
# * ρ: 5.18 Mg/m³